(1)
The following is a DFT calculation (PBE) of a relaxed Er12Ag3H5 crystal.

Structure (CIF):
```
data_Er12Ag3H5
_chemical_formula_sum 'Er96 Ag24 H40'
_space_group_name_H-M_alt 'I a -3 d'
_space_group_IT_number 230
_space_group_name_Hall '-I 4bd 2c 3'
_cell_length_a 15.196
_cell_length_b 15.196
_cell_length_c 15.196
_cell_angle_alpha 90.00
_cell_angle_beta 90.00
_cell_angle_gamma 90.00
loop_
_atom_site_label
_atom_site_fract_x
_atom_site_fract_y
_atom_site_fract_z
_atom_site_occupancy
Er1 0.041 0.056 0.652 1
Ag1 0.000 0.250 0.125 1
H1 0.000 0.000 0.000 1
H2 0.000 0.250 0.375 1
```

## Properties
**DOS(E_F)**: 0.829 states/eV/atom
**E_tot**: -676.627 eV for the cell shown
**ρ**: 8.8 g cm⁻³

(2)
The following is a DFT calculation (PBE) of a relaxed ErAgH crystal.

Structure (CIF):
```
data_ErAgH
_chemical_formula_sum 'Er4 Ag4 H4'
_space_group_name_H-M_alt 'C 1 2/m 1'
_space_group_IT_number 12
_space_group_name_Hall '-C 2y'
_cell_length_a 8.138
_cell_length_b 3.620
_cell_length_c 7.616
_cell_angle_alpha 90.00
_cell_angle_beta 92.74
_cell_angle_gamma 90.00
loop_
_atom_site_label
_atom_site_fract_x
_atom_site_fract_y
_atom_site_fract_z
_atom_site_occupancy
Er1 0.164 0.000 0.323 1
Ag1 0.145 0.000 0.903 1
H1 0.153 0.500 0.469 1
```

## Properties
**DOS(E_F)**: 0.358 states/eV/atom
**E_tot**: -45.636 eV for the cell shown
**ρ**: 8.2 g cm⁻³

(3)
The following is a DFT calculation (PBE) of a relaxed ErAgH2 crystal.

Structure (CIF):
```
data_ErAgH2
_chemical_formula_sum 'Er3 Ag3 H6'
_space_group_name_H-M_alt 'R -3 m'
_space_group_IT_number 166
_space_group_name_Hall '-R 3 2"'
_cell_length_a 3.6223
_cell_length_b 3.6223
_cell_length_c 14.7013
_cell_angle_alpha 90.00
_cell_angle_beta 90.00
_cell_angle_gamma 120.00
loop_
_atom_site_label
_atom_site_fract_x
_atom_site_fract_y
_atom_site_fract_z
_atom_site_occupancy
Er1 0.0000 0.0000 0.0000 1
Ag1 0.0000 0.0000 0.5000 1
H1 0.0000 0.0000 0.3628 1
```

## Properties
**DOS(E_F)**: 0.104 states/eV/atom
**E_tot**: -46.361 eV for the cell shown
**ρ**: 8.3 g cm⁻³